Computed, not measured: crystalline BeCuCl2 at its relaxed geometry at the GGA-PBE level of DFT.

Results
Mass density: 3.860 g/cm³
Crystal system: tetragonal
Density of states at the Fermi level: 0.42 states/eV/atom
Space group: P4/mmm (123)
E_form (uncorrected): 0.359 eV/atom
Spin magnetization: 0.00 μB per atom

a b c (Å): 3.107 3.108 6.392
angles (deg): 90.00 90.00 90.00
Fractional positions:
Cl 0.000 0.000 0.517
Cu 0.500 0.500 0.250
Cl 0.000 0.000 0.983
Be 0.500 0.500 0.750